1.
{"formula": "Fe3Sn2", "functional": "PBE-GGA", "state": "optimized geometry", "lattice_angstrom": [[2.662, 1.537, 6.594], [-2.662, 1.537, 6.594], [0.000, -3.074, 6.594]], "species": ["Fe", "Fe", "Fe", "Fe", "Fe", "Fe", "Sn", "Sn", "Sn", "Sn"], "frac_coords": [[0.128, 0.606, 0.606], [0.394, 0.394, 0.872], [0.394, 0.872, 0.394], [0.606, 0.128, 0.606], [0.606, 0.606, 0.128], [0.872, 0.394, 0.394], [0.106, 0.106, 0.106], [0.331, 0.331, 0.331], [0.669, 0.669, 0.669], [0.894, 0.894, 0.894]], "total_energy_ev_per_atom": -6.68, "space_group": "No. 166", "formation_enthalpy_0k_ev_per_atom": 0.0020, "magnetic_moment_mub_per_atom": 1.227}

---

2.
{"formula": "Sr2FeSn2", "functional": "PBE-GGA", "state": "optimized geometry", "lattice_angstrom": [[7.433, 0.000, 0.000], [0.000, 7.433, 0.000], [0.000, 0.000, 5.252]], "species": ["Sr", "Sr", "Sr", "Sr", "Fe", "Fe", "Sn", "Sn", "Sn", "Sn"], "frac_coords": [[0.167, 0.333, 0.000], [0.333, 0.833, 0.000], [0.667, 0.167, 0.000], [0.833, 0.667, 0.000], [0.000, 0.000, 0.500], [0.500, 0.500, 0.500], [0.147, 0.647, 0.500], [0.353, 0.147, 0.500], [0.647, 0.853, 0.500], [0.853, 0.353, 0.500]], "total_energy_ev_per_atom": -4.15, "space_group": "No. 127", "formation_enthalpy_0k_ev_per_atom": -0.1865, "magnetic_moment_mub_per_atom": 0.494}

---

3.
{"formula": "Sr3FeSn", "functional": "PBE-GGA", "state": "optimized geometry", "lattice_angstrom": [[6.174, 0.000, 0.000], [0.000, 6.174, 0.000], [0.000, 0.000, 6.174]], "species": ["Sr", "Sr", "Sr", "Fe", "Sn"], "frac_coords": [[0.000, 0.000, 0.500], [0.000, 0.500, 0.000], [0.500, 0.000, 0.000], [0.500, 0.500, 0.500], [0.000, 0.000, 0.000]], "total_energy_ev_per_atom": -3.00, "space_group": "No. 221", "formation_enthalpy_0k_ev_per_atom": 0.5022, "magnetic_moment_mub_per_atom": 0.520}